Crystalline Tc2PbO8 at its relaxed geometry. Source: OQMD via LeMat-Bulk, functional PBE.

Geometry as POSCAR:
```
Tc2PbO8
1.0
-4.714 2.071 -2.998
-5.416 -2.482 -0.070
0.382 3.321 5.256
O Pb Tc
8 1 2
Cartesian
-6.306 1.203 2.917 O
-1.470 1.238 1.573 O
-8.278 1.672 0.616 O
-3.443 1.707 -0.728 O
-3.796 -0.581 0.743 O
-3.508 2.530 3.094 O
-6.241 0.380 -0.906 O
-5.953 3.492 1.445 O
0.000 0.000 0.000 Pb
-7.937 0.702 -0.811 Tc
-1.812 2.208 3.000 Tc
```

Output
Magnetization   0.001 μB per cell
Uncorrected energy   -0.524 Ry/atom
Space-group type   C2/m (12)